Record 1
{
  "formula": "Ca8Ga2As",
  "functional": "PBE",
  "state": "relaxed",
  "sg": "Immm",
  "crystal_system": "orthorhombic",
  "lattice_angstrom": [[-2.5740, 4.2130, 7.5555], [2.5740, -4.2130, 7.5555], [2.5740, 4.2130, -7.5555]],
  "species": ["Ca", "Ca", "Ca", "Ca", "Ca", "Ca", "Ca", "Ca", "Ga", "Ga", "As"],
  "frac_coords": [[0.1215, 0.3397, 0.7819], [0.1414, 0.1414, 0.0000], [0.3183, 0.0000, 0.3183], [0.4422, 0.6603, 0.7819], [0.5578, 0.3397, 0.2181], [0.6817, 0.0000, 0.6817], [0.8586, 0.8586, 0.0000], [0.8785, 0.6603, 0.2181], [0.3094, 0.8094, 0.5000], [0.6906, 0.1906, 0.5000], [0.0000, 0.5000, 0.5000]]
}

Record 2
{
  "formula": "Ca3Ga2As4",
  "functional": "PBE",
  "state": "relaxed",
  "sg": "Pnnm",
  "crystal_system": "orthorhombic",
  "lattice_angstrom": [[6.6066, 0.0000, 0.0000], [0.0000, 15.8353, 0.0000], [0.0000, 0.0000, 4.2086]],
  "species": ["Ca", "Ca", "Ca", "Ca", "Ca", "Ca", "Ga", "Ga", "Ga", "Ga", "As", "As", "As", "As", "As", "As", "As", "As"],
  "frac_coords": [[0.0000, 0.0000, 0.0000], [0.2127, 0.3034, 0.5000], [0.2873, 0.8034, 0.0000], [0.5000, 0.5000, 0.5000], [0.7127, 0.1966, 0.0000], [0.7873, 0.6966, 0.5000], [0.1343, 0.5861, 0.0000], [0.3657, 0.0861, 0.5000], [0.6343, 0.9139, 0.5000], [0.8657, 0.4139, 0.0000], [0.2395, 0.1664, 0.0000], [0.2409, 0.4325, 0.0000], [0.2591, 0.9325, 0.5000], [0.2605, 0.6664, 0.5000], [0.7395, 0.3336, 0.5000], [0.7409, 0.0675, 0.5000], [0.7591, 0.5675, 0.0000], [0.7605, 0.8336, 0.0000]]
}

Record 3
{
  "formula": "Ca3GaAs3",
  "functional": "PBE",
  "state": "relaxed",
  "sg": "P6_3/m",
  "crystal_system": "hexagonal",
  "lattice_angstrom": [[8.7067, 0.0000, 0.0000], [-4.3534, 7.5402, 0.0000], [0.0000, 0.0000, 6.0685]],
  "species": ["Ca", "Ca", "Ca", "Ca", "Ca", "Ca", "Ga", "Ga", "As", "As", "As", "As", "As", "As"],
  "frac_coords": [[0.0578, 0.3583, 0.2500], [0.3005, 0.9422, 0.2500], [0.3583, 0.3005, 0.7500], [0.6417, 0.6995, 0.2500], [0.6995, 0.0578, 0.7500], [0.9422, 0.6417, 0.7500], [0.3333, 0.6667, 0.7500], [0.6667, 0.3333, 0.2500], [0.0674, 0.3761, 0.7500], [0.3086, 0.9326, 0.7500], [0.3761, 0.3086, 0.2500], [0.6239, 0.6914, 0.7500], [0.6914, 0.0674, 0.2500], [0.9326, 0.6239, 0.2500]]
}

Record 4
{
  "formula": "CaGa3As",
  "functional": "PBE",
  "state": "relaxed",
  "sg": "Pm-3m",
  "e_above_lowest_polymorph_mev_per_atom": 774,
  "crystal_system": "cubic",
  "lattice_angstrom": [[5.4639, 0.0000, 0.0000], [0.0000, 5.4639, 0.0000], [0.0000, 0.0000, 5.4639]],
  "species": ["Ca", "Ga", "Ga", "Ga", "As"],
  "frac_coords": [[0.0000, 0.0000, 0.0000], [0.0000, 0.0000, 0.5000], [0.0000, 0.5000, 0.0000], [0.5000, 0.0000, 0.0000], [0.5000, 0.5000, 0.5000]]
}

Record 5
{
  "formula": "Ca2GaAs",
  "functional": "PBE",
  "state": "relaxed",
  "sg": "I-42d",
  "e_above_lowest_polymorph_mev_per_atom": 173,
  "crystal_system": "tetragonal",
  "lattice_angstrom": [[-4.0194, 4.0194, 3.4736], [4.0194, -4.0194, 3.4736], [4.0194, 4.0194, -3.4736]],
  "species": ["Ca", "Ca", "Ca", "Ca", "Ga", "Ga", "As", "As"],
  "frac_coords": [[0.1012, 0.6250, 0.9762], [0.3750, 0.3512, 0.4762], [0.6488, 0.1250, 0.0238], [0.8750, 0.8988, 0.5238], [0.2500, 0.7500, 0.5000], [0.5000, 0.5000, 0.0000], [0.0000, 0.0000, 0.0000], [0.7500, 0.2500, 0.5000]]
}

Record 6
{
  "formula": "CaGaAs",
  "functional": "PBE",
  "state": "relaxed",
  "sg": "I4_1md",
  "e_above_lowest_polymorph_mev_per_atom": 472,
  "crystal_system": "tetragonal",
  "lattice_angstrom": [[-2.8303, 2.8303, 5.2349], [2.8303, -2.8303, 5.2349], [2.8303, 2.8303, -5.2349]],
  "species": ["Ca", "Ca", "Ga", "Ga", "As", "As"],
  "frac_coords": [[0.0000, 0.0000, 0.0000], [0.7500, 0.2500, 0.5000], [0.2741, 0.7741, 0.5000], [0.5241, 0.5241, 0.0000], [0.0294, 0.5294, 0.5000], [0.2794, 0.2794, 0.0000]]
}

Record 7
{
  "formula": "CaGaAs",
  "functional": "PBE",
  "state": "relaxed",
  "sg": "Pnma",
  "e_above_lowest_polymorph_mev_per_atom": 0,
  "crystal_system": "orthorhombic",
  "lattice_angstrom": [[7.3414, 0.0000, 0.0000], [0.0000, 4.4506, 0.0000], [0.0000, 0.0000, 8.8209]],
  "species": ["Ca", "Ca", "Ca", "Ca", "Ga", "Ga", "Ga", "Ga", "As", "As", "As", "As"],
  "frac_coords": [[0.1289, 0.2500, 0.1657], [0.3711, 0.7500, 0.6657], [0.6289, 0.2500, 0.3343], [0.8711, 0.7500, 0.8343], [0.0100, 0.7500, 0.4292], [0.4900, 0.2500, 0.9292], [0.5100, 0.7500, 0.0708], [0.9900, 0.2500, 0.5708], [0.1563, 0.2500, 0.8256], [0.3437, 0.7500, 0.3256], [0.6563, 0.2500, 0.6744], [0.8437, 0.7500, 0.1744]]
}

Record 8
{
  "formula": "CaGaAs",
  "functional": "PBE",
  "state": "relaxed",
  "sg": "P3m1",
  "e_above_lowest_polymorph_mev_per_atom": 106,
  "crystal_system": "trigonal",
  "lattice_angstrom": [[4.0744, 0.0000, 0.0000], [-2.0372, 3.5286, 0.0000], [0.0000, 0.0000, 5.0645]],
  "species": ["Ca", "Ga", "As"],
  "frac_coords": [[0.0000, 0.0000, 0.0000], [0.6667, 0.3333, 0.5874], [0.3333, 0.6667, 0.3608]]
}

Number 1: M_tot 0.000 μB per formula unit, DFT total energy -2.728 eV/atom, ΔH_f (0 K) -0.299 eV/atom. Number 2: M_tot 0.000 μB per formula unit, DFT total energy -4.275 eV/atom, ΔH_f (0 K) -0.869 eV/atom. Number 3: M_tot 0.000 μB per formula unit, DFT total energy -4.233 eV/atom, ΔH_f (0 K) -0.950 eV/atom. Number 4: M_tot 0.000 μB per formula unit, DFT total energy -2.261 eV/atom, ΔH_f (0 K) 0.885 eV/atom. Number 5: M_tot 0.000 μB per formula unit, DFT total energy -3.362 eV/atom, ΔH_f (0 K) -0.442 eV/atom. Number 6: M_tot 0.000 μB per formula unit, DFT total energy -3.543 eV/atom, ΔH_f (0 K) -0.317 eV/atom. Number 7: M_tot 0.000 μB per formula unit, DFT total energy -4.015 eV/atom, ΔH_f (0 K) -0.789 eV/atom. Number 8: M_tot 0.000 μB per formula unit, DFT total energy -3.909 eV/atom, ΔH_f (0 K) -0.683 eV/atom.